Entry 1:
Here is a relaxed structure of BaMgNi from Alexandria. Energies are from GGA-PBE.

Cell lengths 3.579, 3.579, 12.083 Å; angles 90.00, 90.00, 90.00 degrees
Space group I4mm (No. 107)
Unique sites:
1 Ba 0.000 0.000 0.000 (multiplicity 2)
2 Mg 0.000 0.000 0.732 (multiplicity 2)
3 Ni 0.000 0.000 0.316 (multiplicity 2)

---

Entry 2:
Here is a relaxed structure of BaMg14Ni from Alexandria. Energies are from GGA-PBE.

Cell lengths 10.445, 6.219, 11.847 Å; angles 90.00, 90.00, 90.00 degrees
Space group Amm2 (No. 38)
Unique sites:
1 Ba 0.000 0.000 0.000 (multiplicity 2)
2 Mg 0.000 0.240 0.252 (multiplicity 4)
3 Mg 0.204 0.000 0.610 (multiplicity 4)
4 Mg 0.255 0.244 0.377 (multiplicity 8)
5 Mg 0.273 0.000 0.140 (multiplicity 4)
6 Mg 0.500 0.000 0.476 (multiplicity 2)
7 Mg 0.500 0.000 0.967 (multiplicity 2)
8 Mg 0.500 0.243 0.724 (multiplicity 4)
9 Ni 0.000 0.000 0.439 (multiplicity 2)

E above lowest polymorph = 0.0 meV per atom

---

Entry 3:
Here is a relaxed structure of BaMgNi3 from Alexandria. Energies are from GGA-PBE.

Cell lengths 4.971, 4.971, 4.971 Å; angles 90.00, 90.00, 90.00 degrees
Space group Pm-3m (No. 221)
Unique sites:
1 Ba 0.000 0.000 0.000 (multiplicity 1)
2 Mg 0.500 0.500 0.500 (multiplicity 1)
3 Ni 0.000 0.000 0.500 (multiplicity 3)

E above lowest polymorph = 945.1 meV per atom

---

Entry 4:
Here is a relaxed structure of BaMg14Ni from Alexandria. Energies are from GGA-PBE.

Cell lengths 6.5001, 6.5001, 10.4626 Å; angles 90.00, 90.00, 120.00 degrees
Space group P-6m2 (No. 187)
Unique sites:
1 Ba 0.0000 0.0000 0.0000 (multiplicity 1)
2 Mg 0.0153 0.5077 0.0000 (multiplicity 3)
3 Mg 0.1618 0.3237 0.2817 (multiplicity 6)
4 Mg 0.5077 0.0155 0.5000 (multiplicity 3)
5 Mg 0.6667 0.3333 0.2376 (multiplicity 2)
6 Ni 0.0000 0.0000 0.5000 (multiplicity 1)

E above lowest polymorph = 27.5 meV per atom

---

Entry 5:
Here is a relaxed structure of Ba2MgNi9 from Alexandria. Energies are from GGA-PBE.

Cell lengths 5.0313, 5.0313, 26.0658 Å; angles 90.00, 90.00, 120.00 degrees
Space group R-3m (No. 166, hexagonal axes)
Unique sites:
1 Ba 0.0000 0.0000 0.1364 (multiplicity 6)
2 Mg 0.0000 0.0000 0.0000 (multiplicity 3)
3 Ni 0.0000 0.0000 0.3322 (multiplicity 6)
4 Ni 0.0000 0.0000 0.5000 (multiplicity 3)
5 Ni 0.0038 0.5019 0.0734 (multiplicity 18)

---

Entry 6:
Here is a relaxed structure of BaMg2Ni2 from Alexandria. Energies are from GGA-PBE.

Cell lengths 8.018, 8.018, 3.099 Å; angles 90.00, 90.00, 90.00 degrees
Space group P4/mbm (No. 127)
Unique sites:
1 Ba 0.000 0.000 0.000 (multiplicity 2)
2 Mg 0.128 0.372 0.500 (multiplicity 4)
3 Ni 0.159 0.659 0.000 (multiplicity 4)

E above lowest polymorph = 124.5 meV per atom

---

Entry 7:
Here is a relaxed structure of Ba2MgNi from Alexandria. Energies are from GGA-PBE.

Cell lengths 7.823, 7.823, 7.823 Å; angles 90.00, 90.00, 90.00 degrees
Space group F-43m (No. 216)
Unique sites:
1 Ba 0.000 0.000 0.000 (multiplicity 4)
2 Ba 0.250 0.250 0.250 (multiplicity 4)
3 Mg 0.250 0.250 0.750 (multiplicity 4)
4 Ni 0.000 0.000 0.500 (multiplicity 4)

---

Entry 8:
Here is a relaxed structure of Ba2MgNi from Alexandria. Energies are from GGA-PBE.

Cell lengths 4.931, 4.931, 10.804 Å; angles 90.00, 90.00, 90.00 degrees
Space group I-4m2 (No. 119)
Unique sites:
1 Ba 0.000 0.000 0.000 (multiplicity 2)
2 Ba 0.000 0.500 0.250 (multiplicity 2)
3 Mg 0.000 0.500 0.750 (multiplicity 2)
4 Ni 0.000 0.000 0.500 (multiplicity 2)

---

Entry 9:
Here is a relaxed structure of Ba2MgNi from Alexandria. Energies are from GGA-PBE.

Cell lengths 4.4150, 4.4150, 28.0330 Å; angles 90.00, 90.00, 120.00 degrees
Space group R-3m (No. 166, hexagonal axes)
Unique sites:
1 Ba 0.0000 0.0000 0.2292 (multiplicity 6)
2 Mg 0.0000 0.0000 0.0000 (multiplicity 3)
3 Ni 0.0000 0.0000 0.5000 (multiplicity 3)

---

Entry 10:
Here is a relaxed structure of Ba2MgNi from Alexandria. Energies are from GGA-PBE.

Cell lengths 5.677, 5.677, 4.202 Å; angles 90.00, 90.00, 90.00 degrees
Space group P4/mmm (No. 123)
Unique sites:
1 Ba 0.000 0.500 0.000 (multiplicity 2)
2 Mg 0.000 0.000 0.500 (multiplicity 1)
3 Ni 0.500 0.500 0.500 (multiplicity 1)

---

Entry 11:
Here is a relaxed structure of Ba2MgNi from Alexandria. Energies are from GGA-PBE.

Cell lengths 3.881, 3.957, 8.782 Å; angles 90.00, 90.00, 90.00 degrees
Space group Pmmm (No. 47)
Unique sites:
1 Ba 0.000 0.000 0.208 (multiplicity 2)
2 Mg 0.500 0.500 0.500 (multiplicity 1)
3 Ni 0.500 0.500 0.000 (multiplicity 1)

---

Entry 12:
Here is a relaxed structure of BaMg4Ni from Alexandria. Energies are from GGA-PBE.

Cell lengths 8.447, 8.447, 8.447 Å; angles 90.00, 90.00, 90.00 degrees
Space group F-43m (No. 216)
Unique sites:
1 Ba 0.000 0.000 0.000 (multiplicity 4)
2 Mg 0.123 0.123 0.623 (multiplicity 16)
3 Ni 0.250 0.250 0.250 (multiplicity 4)

E above lowest polymorph = 184.8 meV per atom

---

Entry 13:
Here is a relaxed structure of BaMg3Ni from Alexandria. Energies are from GGA-PBE.

Cell lengths 5.082, 5.082, 5.082 Å; angles 90.00, 90.00, 90.00 degrees
Space group Pm-3m (No. 221)
Unique sites:
1 Ba 0.000 0.000 0.000 (multiplicity 1)
2 Mg 0.000 0.500 0.500 (multiplicity 3)
3 Ni 0.500 0.500 0.500 (multiplicity 1)

E above lowest polymorph = 0.0 meV per atom

---

Entry 14:
Here is a relaxed structure of BaMgNi from Alexandria. Energies are from GGA-PBE.

Cell lengths 7.476, 7.476, 7.476 Å; angles 90.00, 90.00, 90.00 degrees
Space group F-43m (No. 216)
Unique sites:
1 Ba 0.000 0.000 0.000 (multiplicity 4)
2 Mg 0.250 0.250 0.750 (multiplicity 4)
3 Ni 0.250 0.250 0.250 (multiplicity 4)

---

Entry 15:
Here is a relaxed structure of BaMg4Ni from Alexandria. Energies are from GGA-PBE.

Cell lengths 4.935, 4.935, 7.655 Å; angles 90.00, 90.00, 90.00 degrees
Space group P4/mmm (No. 123)
Unique sites:
1 Ba 0.000 0.000 0.000 (multiplicity 1)
2 Mg 0.000 0.500 0.500 (multiplicity 2)
3 Mg 0.500 0.500 0.191 (multiplicity 2)
4 Ni 0.500 0.500 0.500 (multiplicity 1)

E above lowest polymorph = 0.0 meV per atom

---

no.,total magnetic moment (Bohr magnetons per cell),calculated total energy (eV/atom),energy of formation from the pure elements (eV per formula unit)
1,0.00,-2.9711,0.4
2,0.00,-1.8023,1.2
3,0.00,-2.6575,7.6
4,0.00,-1.7748,1.6
5,9.91,-4.6776,1.3
6,0.15,-3.2460,0.4
7,0.00,-2.4937,1.2
8,0.00,-2.4772,1.3
9,0.00,-2.6435,0.6
10,0.00,-2.6064,0.8
11,0.00,-2.6959,0.4
12,0.00,-2.1185,1.4
13,0.00,-2.5752,-0.4
14,0.00,-2.3203,2.3
15,0.00,-2.3033,0.3